[1]
NdErOsRh after structural relaxation, computed with GGA-PBE.

**M_tot**: 0.000 μB/f.u.
**Energy of formation**: -346.2 meV per atom

Cell: 4.894 4.894 4.894 Å, 60.00 60.00 60.00°
Element x y z (fractional)
Er  0.750  0.750  0.750
Os  0.000  0.000  0.000
Rh  0.500  0.500  0.500
Nd  0.250  0.250  0.250



[2]
Pu2SnCl after structural relaxation, computed with GGA-PBE.

**M_tot**: 12.324 μB/f.u.
**Polymorph energy (0 for the lowest one)**: 0 meV per atom
**Uncorrected formation energy**: -694 meV/atom

Cell: 3.397 3.397 8.521 Å, 90.00 90.00 90.00°
Element x y z (fractional)
Pu  0.000  0.000  0.242
Pu  0.000  0.000  0.758
Cl  0.500  0.500  0.000
Sn  0.500  0.500  0.500



[3]
LaTc2Ru after structural relaxation, computed with GGA-PBE.

**M_tot**: 0.001 μB/f.u.
**Polymorph energy (0 for the lowest one)**: 0 meV per atom
**Energy of formation**: 243.1 meV per atom

Cell: 3.124 3.105 8.179 Å, 67.23 90.00 90.00°
Element x y z (fractional)
Tc  0.500  0.312  0.187
Tc  0.000  0.989  0.008
Ru  0.500  0.705  0.800
La  0.000  0.494  0.504



[4]
K2TbTe3O12 after structural relaxation, computed with GGA-PBE.

**M_tot**: 0.770 μB/f.u.
**Uncorrected formation energy**: -1446 meV/atom

Cell: 7.564 7.564 7.564 Å, 58.67 58.67 58.67°
Element x y z (fractional)
O  0.315  0.315  0.916
O  0.921  0.359  0.921
O  0.685  0.685  0.084
O  0.315  0.916  0.315
O  0.359  0.921  0.921
O  0.685  0.084  0.685
O  0.916  0.315  0.315
O  0.641  0.079  0.079
O  0.084  0.685  0.685
O  0.079  0.641  0.079
O  0.079  0.079  0.641
O  0.921  0.921  0.359
Tb  0.000  0.000  0.000
K  0.625  0.625  0.625
K  0.375  0.375  0.375
Te  0.500  0.000  0.000
Te  0.000  0.500  0.000
Te  0.000  0.000  0.500



[5]
LiAg2Cl2F2 after structural relaxation, computed with GGA-PBE.

**M_tot**: 1.000 μB/f.u.
**Uncorrected formation energy**: -1168 meV/atom

Cell: 3.698 6.676 6.161 Å, 60.38 72.54 73.92°
Element x y z (fractional)
Cl  0.411  0.795  0.383
Cl  0.589  0.205  0.617
Ag  0.787  0.714  0.712
Ag  0.213  0.286  0.288
F  0.839  0.281  0.041
F  0.161  0.719  0.959
Li  0.000  0.000  0.000



[6]
Ta3Fe after structural relaxation, computed with GGA-PBE.

**M_tot**: 0.000 μB/f.u.
**Energy of formation**: 1522.8 meV per atom

Cell: 4.597 4.597 4.597 Å, 90.00 90.00 90.00°
Element x y z (fractional)
Fe  0.000  0.000  0.000
Ta  0.500  0.000  0.000
Ta  0.000  0.500  0.000
Ta  0.000  0.000  0.500



[7]
PdF after structural relaxation, computed with GGA-PBE.

**M_tot**: 1.010 μB/f.u.
**Polymorph energy (0 for the lowest one)**: 616 meV per atom
**Uncorrected formation energy**: -109 meV/atom

Cell: 6.530 6.530 6.530 Å, 90.00 90.00 90.00°
Element x y z (fractional)
Pd  0.000  0.250  0.500
Pd  0.500  0.000  0.250
Pd  0.500  0.000  0.750
Pd  0.000  0.750  0.500
Pd  0.250  0.500  0.000
Pd  0.750  0.500  0.000
F  0.750  0.000  0.500
F  0.500  0.250  0.000
F  0.000  0.500  0.250
F  0.000  0.500  0.750
F  0.500  0.750  0.000
F  0.250  0.000  0.500



[8]
KGa2HgPt after structural relaxation, computed with GGA-PBE.

**M_tot**: 0.000 μB/f.u.
**Polymorph energy (0 for the lowest one)**: 0 meV per atom
**Energy of formation**: -269.3 meV per atom

Cell: 4.915 4.915 5.439 Å, 90.00 90.00 90.00°
Element x y z (fractional)
Ga  0.500  0.000  0.000
Ga  0.000  0.500  0.000
K  0.500  0.500  0.500
Hg  0.000  0.000  0.500
Pt  0.000  0.000  0.000



Number 1: total DFT energy (no corrections) -29.297 eV per formula unit. Number 2: total DFT energy (no corrections) -37.288 eV per formula unit. Number 3: total DFT energy (no corrections) -33.963 eV per formula unit. Number 4: total DFT energy (no corrections) -101.779 eV per formula unit. Number 5: total DFT energy (no corrections) -23.225 eV per formula unit. Number 6: total DFT energy (no corrections) -37.930 eV per formula unit. Number 7: total DFT energy (no corrections) -7.283 eV per formula unit. Number 8: total DFT energy (no corrections) -14.841 eV per formula unit.